Material: Sc3Ni
Method: DFT, PBE-GGA
State: optimized geometry

Geometry as extended XYZ:
```
4
Lattice="-0.109 -4.585 -0.711 3.357 0.416 -3.178 2.529 -0.465 2.611" Properties=species:S:1:pos:R:3 pbc="T T T"
Sc 2.943 -0.024 -0.283
Sc 1.624 -2.085 -1.944
Sc 1.210 -2.525 0.950
Ni 0.000 0.000 0.000
```

**Spin magnetization**: 0.000 μB per formula unit
**Density of states at the Fermi level**: 1.136 states/eV/atom
**Crystal system**: tetragonal
**Electronic total energy**: -6.2369 eV/atom